The following is a GGA-PBE calculation of a relaxed PrNdHo3Th crystal, from the Alexandria database.

The total energy comes out at -5.040 eV per atom. The energy of formation comes out at 0.46 eV/f.u. As for the space group: P2_1/m, No. 11.

abc: 7.067 5.420 10.432
angles: 90.00 99.14 90.00
Atoms (fractional coordinates):
Pr 0.060 0.250 0.234
Pr 0.940 0.750 0.766
Nd 0.448 0.750 0.764
Nd 0.552 0.250 0.236
Ho 0.151 0.250 0.580
Ho 0.231 0.250 0.914
Ho 0.271 0.750 0.084
Ho 0.729 0.250 0.916
Ho 0.769 0.750 0.086
Ho 0.849 0.750 0.420
Th 0.357 0.750 0.420
Th 0.643 0.250 0.580